Model 1:
RbLaH: optimized geometry, GGA-PBE.

Its magnetic moment is 0.17 Bohr magnetons per cell. For the density of states at the Fermi level, the calculation gives 3.00 states/eV/cell. The density is 3918 kg/m3.

It has space group P3m1 (No. 156), with a = 3.8370 Å, b = 3.8370 Å, c = 7.4916 Å, α = 90.00°, β = 90.00° and γ = 120.00°. Symmetry generates all atoms from Rb at (0.0000, 0.0000, 0.0000), La at (0.6667, 0.3333, 0.5250) and H at (0.3333, 0.6667, 0.6847).

---

Model 2:
RbLaH: optimized geometry, GGA-PBE.

Its magnetic moment is 0.02 Bohr magnetons per cell. For the density of states at the Fermi level, the calculation gives 9.52 states/eV/cell. The density is 3482 kg/m3.

It has space group Cm (No. 8), with a = 7.059 Å, b = 4.081 Å, c = 15.098 Å, α = 90.00°, β = 98.76° and γ = 90.00°. Symmetry generates all atoms from Rb at (0.000, 0.000, 0.000), Rb at (0.058, 0.500, 0.706), La at (0.313, 0.500, 0.447), La at (0.414, 0.000, 0.246), H at (0.064, 0.000, 0.197) and H at (0.262, 0.500, 0.290).

---

Model 3:
RbLaH: optimized geometry, GGA-PBE.

Its magnetic moment is 0.01 Bohr magnetons per cell. For the density of states at the Fermi level, the calculation gives 5.94 states/eV/cell. The density is 3458 kg/m3.

It has space group P1 (No. 1), with a = 3.997 Å, b = 4.219 Å, c = 14.690 Å, α = 83.29°, β = 83.04° and γ = 61.93°. Symmetry generates all atoms from Rb at (0.000, 0.000, 0.000), Rb at (0.445, 0.471, 0.698), La at (0.611, 0.524, 0.264), La at (0.832, 0.927, 0.445), H at (0.164, 0.326, 0.368) and H at (0.508, 0.584, 0.432).

---

Which structure is most stable? model 2, by 54 meV per atom over the runner-up.

---

Model 1:
RbLaH: optimized geometry, GGA-PBE.

Its magnetic moment is 0.00 Bohr magnetons per cell. For the density of states at the Fermi level, the calculation gives 9.34 states/eV/cell. The density is 3481 kg/m3.

It has space group Cm (No. 8), with a = 7.057 Å, b = 4.080 Å, c = 15.170 Å, α = 90.00°, β = 100.04° and γ = 90.00°. Symmetry generates all atoms from Rb at (0.000, 0.000, 0.000), Rb at (0.238, 0.500, 0.294), La at (0.075, 0.500, 0.755), La at (0.166, 0.000, 0.554), H at (0.225, 0.000, 0.711) and H at (0.427, 0.500, 0.804).

---

Model 2:
RbLaH: optimized geometry, GGA-PBE.

Its magnetic moment is 1.52 Bohr magnetons per cell. For the density of states at the Fermi level, the calculation gives 5.67 states/eV/cell. The density is 3645 kg/m3.

It has space group Cm (No. 8), with a = 6.798 Å, b = 3.882 Å, c = 8.086 Å, α = 90.00°, β = 105.74° and γ = 90.00°. Symmetry generates all atoms from Rb at (0.000, 0.000, 0.000), La at (0.016, 0.500, 0.522) and H at (0.107, 0.500, 0.809).

---

Model 3:
RbLaH: optimized geometry, GGA-PBE.

Its magnetic moment is 0.07 Bohr magnetons per cell. For the density of states at the Fermi level, the calculation gives 3.08 states/eV/cell. The density is 3931 kg/m3.

It has space group Pmmm (No. 47), with a = 4.404 Å, b = 4.425 Å, c = 4.885 Å, α = 90.00°, β = 90.00° and γ = 90.00°. Symmetry generates all atoms from Rb at (0.000, 0.000, 0.000), La at (0.500, 0.500, 0.500) and H at (0.500, 0.500, 0.000).

---

Model 4:
RbLaH: optimized geometry, GGA-PBE.

Its magnetic moment is 0.00 Bohr magnetons per cell. For the density of states at the Fermi level, the calculation gives 3.51 states/eV/cell. The density is 3636 kg/m3.

It has space group P1 (No. 1), with a = 3.932 Å, b = 3.935 Å, c = 7.678 Å, α = 90.11°, β = 90.14° and γ = 119.97°. Symmetry generates all atoms from Rb at (0.000, 0.000, 0.000), La at (0.327, 0.661, 0.522) and H at (0.995, 0.996, 0.612).

---

Which structure is most stable? model 1, by 176 meV per atom over the runner-up.

---

Model 1:
RbLaH: optimized geometry, GGA-PBE.

Its magnetic moment is 0.00 Bohr magnetons per cell. For the density of states at the Fermi level, the calculation gives 5.57 states/eV/cell. The density is 3367 kg/m3.

It has space group Pm (No. 6), with a = 3.948 Å, b = 4.093 Å, c = 13.756 Å, α = 90.00°, β = 90.29° and γ = 90.00°. Symmetry generates all atoms from Rb at (0.000, 0.000, 0.000), Rb at (0.487, 0.500, 0.314), La at (0.495, 0.500, 0.738), La at (0.992, 0.000, 0.551), H at (0.490, 0.000, 0.451) and H at (0.494, 0.000, 0.654).

---

Model 2:
RbLaH: optimized geometry, GGA-PBE.

Its magnetic moment is 0.58 Bohr magnetons per cell. For the density of states at the Fermi level, the calculation gives 2.35 states/eV/cell. The density is 3879 kg/m3.

It has space group Pm (No. 6), with a = 3.459 Å, b = 3.757 Å, c = 7.619 Å, α = 90.00°, β = 102.98° and γ = 90.00°. Symmetry generates all atoms from Rb at (0.000, 0.000, 0.000), La at (0.771, 0.500, 0.534) and H at (0.386, 0.500, 0.765).

---

Model 3:
RbLaH: optimized geometry, GGA-PBE.

Its magnetic moment is 0.00 Bohr magnetons per cell. For the density of states at the Fermi level, the calculation gives 3.12 states/eV/cell. The density is 3635 kg/m3.

It has space group P1 (No. 1), with a = 3.924 Å, b = 3.926 Å, c = 8.027 Å, α = 89.77°, β = 76.05° and γ = 60.02°. Symmetry generates all atoms from Rb at (0.000, 0.000, 0.000), La at (0.024, 0.482, 0.478) and H at (0.753, 0.118, 0.383).

---

Which structure is most stable? model 1, by 140 meV per atom over the runner-up.

---

Model 1:
RbLaH2: optimized geometry, GGA-PBE.

Its magnetic moment is 0.00 Bohr magnetons per cell. For the density of states at the Fermi level, the calculation gives 3.50 states/eV/cell. The density is 3311 kg/m3.

It has space group I-42d (No. 122), with a = 6.226 Å, b = 6.226 Å, c = 11.719 Å, α = 90.00°, β = 90.00° and γ = 90.00°. Symmetry generates all atoms from Rb at (0.000, 0.000, 0.000), La at (0.000, 0.000, 0.500) and H at (0.112, 0.250, 0.625).

---

Model 2:
RbLaH2: optimized geometry, GGA-PBE.

Its magnetic moment is 4.12 Bohr magnetons per cell. For the density of states at the Fermi level, the calculation gives 15.76 states/eV/cell. The density is 4833 kg/m3.

It has space group Fm-3m (No. 225), with a = 6.776 Å, b = 6.776 Å, c = 6.776 Å, α = 90.00°, β = 90.00° and γ = 90.00°. Symmetry generates all atoms from Rb at (0.000, 0.000, 0.000), La at (0.000, 0.000, 0.500) and H at (0.250, 0.250, 0.250).

---

Which structure is most stable? model 1, by 456 meV per atom over the runner-up.

---

Model 1:
RbLaHS: optimized geometry, GGA-PBE.

Its magnetic moment is 3.08 Bohr magnetons per cell. For the density of states at the Fermi level, the calculation gives 0.77 states/eV/cell. The density is 3436 kg/m3.

It has space group R3m (No. 160, hexagonal axes), with a = 4.3957 Å, b = 4.3957 Å, c = 22.3058 Å, α = 90.00°, β = 90.00° and γ = 120.00°. Symmetry generates all atoms from Rb at (0.0000, 0.0000, 0.0000), La at (0.0000, 0.0000, 0.4959), H at (0.0000, 0.0000, 0.3938) and S at (0.0000, 0.0000, 0.2208).

---

Model 2:
RbLaHS: optimized geometry, GGA-PBE.

Its magnetic moment is 0.43 Bohr magnetons per cell. For the density of states at the Fermi level, the calculation gives 1.87 states/eV/cell. The density is 3768 kg/m3.

It has space group P1 (No. 1), with a = 3.850 Å, b = 4.026 Å, c = 7.590 Å, α = 74.68°, β = 89.79° and γ = 90.00°. Symmetry generates all atoms from Rb at (0.000, 0.000, 0.000), La at (0.504, 0.734, 0.530), H at (0.003, 0.638, 0.724) and S at (0.005, 0.301, 0.395).

---

Which structure is most stable? model 2, by 54 meV per atom over the runner-up.

---

Model 1:
RbLaHS: optimized geometry, GGA-PBE.

Its magnetic moment is 0.01 Bohr magnetons per cell. For the density of states at the Fermi level, the calculation gives 1.89 states/eV/cell. The density is 3749 kg/m3.

It has space group P1 (No. 1), with a = 3.788 Å, b = 4.162 Å, c = 7.476 Å, α = 90.17°, β = 104.66° and γ = 90.01°. Symmetry generates all atoms from Rb at (0.000, 0.000, 0.000), La at (0.263, 0.497, 0.528), H at (0.861, 0.498, 0.725) and S at (0.701, 0.996, 0.405).

---

Model 2:
RbLaHS: optimized geometry, GGA-PBE.

Its magnetic moment is 0.00 Bohr magnetons per cell. For the density of states at the Fermi level, the calculation gives 2.15 states/eV/cell. The density is 3467 kg/m3.

It has space group P1 (No. 1), with a = 4.174 Å, b = 4.177 Å, c = 8.460 Å, α = 77.12°, β = 76.51° and γ = 60.08°. Symmetry generates all atoms from Rb at (0.000, 0.000, 0.000), La at (0.488, 0.468, 0.530), H at (0.176, 0.152, 0.468) and S at (0.759, 0.746, 0.721).

---

Which structure is most stable? model 2, by 34 meV per atom over the runner-up.

---

Model 1:
RbLaHS: optimized geometry, GGA-PBE.

Its magnetic moment is 0.00 Bohr magnetons per cell. For the density of states at the Fermi level, the calculation gives 1.96 states/eV/cell. The density is 3798 kg/m3.

It has space group P4mm (No. 99), with a = 4.077 Å, b = 4.077 Å, c = 6.771 Å, α = 90.00°, β = 90.00° and γ = 90.00°. Symmetry generates all atoms from Rb at (0.000, 0.000, 0.000), La at (0.500, 0.500, 0.531), H at (0.500, 0.500, 0.881) and S at (0.000, 0.000, 0.506).

---

Model 2:
RbLaHS: optimized geometry, GGA-PBE.

Its magnetic moment is 2.61 Bohr magnetons per cell. For the density of states at the Fermi level, the calculation gives 5.56 states/eV/cell. The density is 3671 kg/m3.

It has space group R3m (No. 160, hexagonal axes), with a = 4.1434 Å, b = 4.1434 Å, c = 23.4952 Å, α = 90.00°, β = 90.00° and γ = 120.00°. Symmetry generates all atoms from Rb at (0.0000, 0.0000, 0.0000), La at (0.0000, 0.0000, 0.8304), H at (0.0000, 0.0000, 0.1332) and S at (0.0000, 0.0000, 0.5659).

---

Model 3:
RbLaHS: optimized geometry, GGA-PBE.

Its magnetic moment is 0.94 Bohr magnetons per cell. For the density of states at the Fermi level, the calculation gives 5.07 states/eV/cell. The density is 3827 kg/m3.

It has space group Amm2 (No. 38), with a = 3.997 Å, b = 3.874 Å, c = 14.429 Å, α = 90.00°, β = 90.00° and γ = 90.00°. Symmetry generates all atoms from Rb at (0.000, 0.000, 0.000), La at (0.500, 0.000, 0.267), H at (0.500, 0.000, 0.429) and S at (0.000, 0.000, 0.708).

---

Model 4:
RbLaHS: optimized geometry, GGA-PBE.

Its magnetic moment is 0.89 Bohr magnetons per cell. For the density of states at the Fermi level, the calculation gives 1.57 states/eV/cell. The density is 3686 kg/m3.

It has space group P3m1 (No. 156), with a = 4.1636 Å, b = 4.1636 Å, c = 7.7251 Å, α = 90.00°, β = 90.00° and γ = 120.00°. Symmetry generates all atoms from Rb at (0.0000, 0.0000, 0.0000), La at (0.3333, 0.6667, 0.5020), H at (0.0000, 0.0000, 0.4117) and S at (0.6667, 0.3333, 0.7085).

---

Which structure is most stable? model 4, by 27 meV per atom over the runner-up.

---

Model 1:
LaReH3: optimized geometry, GGA-PBE.

Its magnetic moment is 0.00 Bohr magnetons per cell. For the density of states at the Fermi level, the calculation gives 2.28 states/eV/cell. The density is 9905 kg/m3.

It has space group Pm-3m (No. 221), with a = 3.803 Å, b = 3.803 Å, c = 3.803 Å, α = 90.00°, β = 90.00° and γ = 90.00°. Symmetry generates all atoms from La at (0.000, 0.000, 0.000), Re at (0.500, 0.500, 0.500) and H at (0.000, 0.500, 0.500).

---

Model 2:
LaReH3: optimized geometry, GGA-PBE.

Its magnetic moment is 0.01 Bohr magnetons per cell. For the density of states at the Fermi level, the calculation gives 3.33 states/eV/cell. The density is 8058 kg/m3.

It has space group Pm-3m (No. 221), with a = 4.074 Å, b = 4.074 Å, c = 4.074 Å, α = 90.00°, β = 90.00° and γ = 90.00°. Symmetry generates all atoms from La at (0.000, 0.000, 0.000), Re at (0.500, 0.500, 0.500) and H at (0.000, 0.000, 0.500).

---

Which structure is most stable? model 1, by 1394 meV per atom over the runner-up.

---

Model 1:
La2ReH: optimized geometry, GGA-PBE.

Its magnetic moment is 0.00 Bohr magnetons per cell. For the density of states at the Fermi level, the calculation gives 1.52 states/eV/cell. The density is 9123 kg/m3.

It has space group Fm-3m (No. 225), with a = 6.970 Å, b = 6.970 Å, c = 6.970 Å, α = 90.00°, β = 90.00° and γ = 90.00°. Symmetry generates all atoms from La at (0.250, 0.250, 0.250), Re at (0.000, 0.000, 0.000) and H at (0.000, 0.000, 0.500).

---

Model 2:
La2ReH: optimized geometry, GGA-PBE.

Its magnetic moment is 0.00 Bohr magnetons per cell. For the density of states at the Fermi level, the calculation gives 0.00 states/eV/cell. The density is 7523 kg/m3.

It has space group I-42d (No. 122), with a = 5.476 Å, b = 5.476 Å, c = 13.691 Å, α = 90.00°, β = 90.00° and γ = 90.00°. Symmetry generates all atoms from La at (0.226, 0.250, 0.125), Re at (0.000, 0.000, 0.500) and H at (0.000, 0.000, 0.000).

---

Which structure is most stable? model 1, by 108 meV per atom over the runner-up.

---

Model 1:
LaRe2H2: optimized geometry, GGA-PBE.

Its magnetic moment is 0.00 Bohr magnetons per cell. For the density of states at the Fermi level, the calculation gives 5.53 states/eV/cell. The density is 11104 kg/m3.

It has space group I4/mmm (No. 139), with a = 3.782 Å, b = 3.782 Å, c = 10.731 Å, α = 90.00°, β = 90.00° and γ = 90.00°. Symmetry generates all atoms from La at (0.000, 0.000, 0.000), Re at (0.000, 0.000, 0.272) and H at (0.000, 0.500, 0.250).

---

Model 2:
LaRe2H2: optimized geometry, GGA-PBE.

Its magnetic moment is 0.00 Bohr magnetons per cell. For the density of states at the Fermi level, the calculation gives 6.17 states/eV/cell. The density is 11371 kg/m3.

It has space group P4/mbm (No. 127), with a = 7.290 Å, b = 7.290 Å, c = 2.821 Å, α = 90.00°, β = 90.00° and γ = 90.00°. Symmetry generates all atoms from La at (0.000, 0.000, 0.000), Re at (0.114, 0.386, 0.000) and H at (0.100, 0.600, 0.500).

---

Which structure is most stable? model 1, by 511 meV per atom over the runner-up.